## A
## Tb2InSe (PBE-GGA)

Data for an optimized crystal structure of Tb2InSe.

Computed properties:
**Total magnetization**: 0.00 μB per formula unit

extended XYZ file:
```
8
Lattice="4.2257 0.0000 0.0000 0.0000 4.2650 -0.7575 0.0000 -0.1120 11.7546" Properties=species:S:1:pos:R:3 pbc="T T T"
Se 3.1693 3.3731 6.6062
Tb 3.1693 3.8700 9.4039
In 3.1693 2.3129 0.6370
Tb 1.0564 1.2804 7.2089
Tb 3.1693 2.8726 3.7882
In 1.0564 1.8400 10.3600
Tb 1.0564 0.2830 1.5932
Se 1.0564 0.7799 4.3909
```



## B
## Tb2InSe (PBE-GGA)

Data for an optimized crystal structure of Tb2InSe.

Computed properties:
**Total magnetization**: 0.00 μB per formula unit

extended XYZ file:
```
4
Lattice="3.9463 -0.0005 -0.0035 -1.9724 3.4180 0.0035 -1.9670 -1.1427 8.0163" Properties=species:S:1:pos:R:3 pbc="T T T"
Tb 0.0051 -0.0029 6.2521
Tb 0.0019 2.2777 1.7638
Se 3.9463 -0.0005 -0.0035
In -1.9698 1.1377 4.0103
```



We find A to be the most stable, with the next structure 28 meV/atom higher.



## A
## TbInSe3 (PBE-GGA)

Data for an optimized crystal structure of TbInSe3.

Computed properties:
**Total magnetization**: 0.00 μB per formula unit

extended XYZ file:
```
20
Lattice="-0.6178 -2.3286 6.9607 6.1308 -3.9406 -0.7741 5.9403 9.1370 0.5337" Properties=species:S:1:pos:R:3 pbc="T T T"
Se 7.7352 2.7602 3.6886
Tb 1.3658 -0.3385 4.7291
Tb 10.0875 3.2063 1.9913
Se 6.6588 6.5301 3.4776
Se 4.1517 4.2567 3.1360
Tb 6.3300 4.3112 1.3028
Se 7.3016 -1.3889 3.5844
In 7.1765 4.6936 5.4109
In 2.7154 2.4463 1.8909
Se 8.9423 5.3970 0.5778
Se 4.7945 -3.6623 3.2427
Se 6.5794 -1.6117 -0.2488
Se 7.8385 2.2216 0.0589
In 4.2768 -1.8258 1.3095
Se 3.6148 0.6462 6.6614
In 8.7378 0.4215 4.8295
Se 2.5110 -2.5292 6.1426
Se 3.7181 0.1076 3.0318
Tb 5.1233 -1.4434 5.4176
Se 4.8738 4.4795 6.9691
```



## B
## TbInSe3 (PBE-GGA)

Data for an optimized crystal structure of TbInSe3.

Computed properties:
**Total magnetization**: 0.00 μB per formula unit

extended XYZ file:
```
10
Lattice="4.1815 0.0000 0.0000 0.0000 7.0674 -1.8050 0.0000 1.0111 10.4581" Properties=species:S:1:pos:R:3 pbc="T T T"
Se 3.1361 4.4696 5.8919
Se 1.0454 7.2067 2.0107
Se 1.0454 3.6090 2.7611
Tb 3.1361 5.4643 3.2430
In 3.1361 7.2604 7.3523
In 1.0454 0.8182 1.3007
Se 1.0454 6.3900 8.7172
Se 3.1361 0.8719 6.6424
Tb 1.0454 2.6143 5.4101
Se 3.1361 1.6885 -0.0641
```



We find B to be the most stable, with the next structure 30 meV/atom higher.